Entry 1:
Computed, not measured: an optimized crystal structure of Th3ScAu7 at the PBE level of DFT.

- DFT formation energy (kJ/mol of formula units) = -623
- crystal system = orthorhombic
- symmetry = No. 63

Cell lengths 3.7556, 10.9502, 13.0207 Å; angles 90.00, 90.00, 99.87 degrees
Closest atoms and distances in Å follow each position.
Fractional coordinates of all 22 atoms:
Au: 0.2733 0.5467 0.4297  3 Au 2.79-2.81, 3 Th 3.00-3.05
Au: 0.7267 0.4533 0.5703  3 Au 2.79-2.81, 3 Th 3.00-3.05
Au: 0.6261 0.2521 0.2500  2 Au 2.98, 5 Th 3.17-3.31
Au: 0.7267 0.4533 0.9297  3 Au 2.79-2.81, 3 Th 3.00-3.05
Au: 0.4766 0.9532 0.9027  3 Au 2.73-2.98, 2 Sc 2.88
Au: 0.4766 0.9532 0.5973  3 Au 2.73-2.98, 2 Sc 2.88
Au: 0.3956 0.7912 0.3592  3 Au 2.79-2.84, 2 Sc 2.99
Au: 0.3739 0.7479 0.7500  2 Au 2.98, 5 Th 3.17-3.31
Au: 0.5234 0.0468 0.4027  3 Au 2.73-2.98, 2 Sc 2.88
Au: 0.6044 0.2088 0.8592  3 Au 2.79-2.84, 2 Sc 2.99
Au: 0.3956 0.7912 0.1408  3 Au 2.79-2.84, 2 Sc 2.99
Au: 0.2733 0.5467 0.0703  3 Au 2.79-2.81, 3 Th 3.00-3.05
Au: 0.6044 0.2088 0.6408  3 Au 2.79-2.84, 2 Sc 2.99
Au: 0.5234 0.0468 0.0973  3 Au 2.73-2.98, 2 Sc 2.88
Th: 0.1321 0.2642 0.0541  9 Au 3.05-3.21
Th: 0.8679 0.7358 0.5541  9 Au 3.05-3.21
Th: 0.1321 0.2642 0.4459  9 Au 3.05-3.21
Th: 0.7793 0.5585 0.2500  5 Au 3.00-3.31
Th: 0.2207 0.4415 0.7500  5 Au 3.00-3.31
Th: 0.8679 0.7358 0.9459  9 Au 3.05-3.21
Sc: 0.0188 0.0376 0.7500  8 Au 2.88-2.99
Sc: 0.9812 0.9624 0.2500  8 Au 2.88-2.99


Entry 2:
Computed, not measured: an optimized crystal structure of Th2ScAu6 at the PBE level of DFT.

- DFT formation energy (kJ/mol of formula units) = -514
- crystal system = trigonal
- symmetry = No. 164

Cell lengths 5.5087, 6.5197, 6.5197 Å; angles 120.00, 90.00, 90.00 degrees
Closest atoms and distances in Å follow each position.
Fractional coordinates of all 9 atoms:
Sc: 0.5000 0.0000 0.0000  6 Au 2.71
Th: 0.3348 0.6667 0.3333  12 Au 3.13-3.37
Th: 0.6652 0.3333 0.6667  12 Au 3.13-3.37
Au: 0.8147 0.8153 0.1847  1 Sc 2.71, 4 Au 2.91-2.92
Au: 0.1853 0.1847 0.3694  1 Sc 2.71, 4 Au 2.91-2.92
Au: 0.1853 0.1847 0.8153  1 Sc 2.71, 4 Au 2.91-2.92
Au: 0.1853 0.6306 0.8153  1 Sc 2.71, 4 Au 2.91-2.92
Au: 0.8147 0.3694 0.1847  1 Sc 2.71, 4 Au 2.91-2.92
Au: 0.8147 0.8153 0.6306  1 Sc 2.71, 4 Au 2.91-2.92


Entry 3:
Computed, not measured: an optimized crystal structure of ThScAu3 at the PBE level of DFT.

- DFT formation energy (kJ/mol of formula units) = -352
- crystal system = orthorhombic
- symmetry = No. 63

Cell lengths 3.4122, 4.6756, 13.9181 Å; angles 90.00, 97.04, 90.00 degrees
Closest atoms and distances in Å follow each position.
Fractional coordinates of all 10 atoms:
Th: 0.0773 0.2500 0.1546  12 Au 3.21-3.50, 2 Th 3.41
Th: 0.9227 0.7500 0.8454  12 Au 3.21-3.50, 2 Th 3.41
Sc: 0.2103 0.7500 0.4206  7 Au 2.81-2.96
Sc: 0.7897 0.2500 0.5794  7 Au 2.81-2.96
Au: 0.3120 0.7500 0.6239  5 Sc 2.81-2.96, 2 Au 2.88
Au: 0.4736 0.2500 0.9472  3 Au 2.76-2.79
Au: 0.6880 0.2500 0.3761  5 Sc 2.81-2.96, 2 Au 2.88
Au: 0.3726 0.2500 0.7452  3 Au 2.79-2.88, 2 Sc 2.86
Au: 0.6274 0.7500 0.2548  3 Au 2.79-2.88, 2 Sc 2.86
Au: 0.5264 0.7500 0.0528  3 Au 2.76-2.79